Entry 1:
CsTbFeSe3 after structural relaxation. Source: OQMD via LeMat-Bulk, functional PBE.

Lattice parameters (Å, degrees): 10.7731 4.2260 15.3811 90.00 90.00 90.00
Last column: magnetic moment on the atom in μB.
Fractional positions:
Cs 0.0293 0.7500 0.1619  0.01
Cs 0.5293 0.7500 0.3381  0.01
Cs 0.4707 0.2500 0.6619  0.01
Cs 0.9707 0.2500 0.8381  0.01
Fe 0.3458 0.2500 0.1288  3.19
Fe 0.8458 0.2500 0.3712  3.19
Fe 0.1542 0.7500 0.6288  3.19
Fe 0.6542 0.7500 0.8712  3.19
Se 0.2026 0.2500 0.0071  0.09
Se 0.4696 0.7500 0.1077  0.10
Se 0.7654 0.2500 0.2283  0.14
Se 0.2654 0.2500 0.2717  0.14
Se 0.9696 0.7500 0.3923  0.10
Se 0.7026 0.2500 0.4929  0.09
Se 0.2974 0.7500 0.5071  0.09
Se 0.0304 0.2500 0.6077  0.10
Se 0.7346 0.7500 0.7283  0.14
Se 0.2346 0.7500 0.7717  0.14
Se 0.5304 0.2500 0.8923  0.10
Se 0.7974 0.7500 0.9929  0.09
Tb 0.6510 0.2500 0.0678  0.06
Tb 0.1510 0.2500 0.4322  0.06
Tb 0.8490 0.7500 0.5678  0.06
Tb 0.3490 0.7500 0.9322  0.06

Space group: Pnma



Entry 2:
CsTbFeSe3 after structural relaxation. Source: OQMD via LeMat-Bulk, functional PBE.

Lattice parameters (Å, degrees): 16.4594 4.1424 11.0874 90.00 90.00 90.00
Last column: magnetic moment on the atom in μB.
Fractional positions:
Cs 0.2635 0.7500 0.0223  0.01
Cs 0.7635 0.7500 0.4777  0.01
Cs 0.2365 0.2500 0.5223  0.01
Cs 0.7365 0.2500 0.9777  0.01
Fe 0.4898 0.2500 0.0838  3.26
Fe 0.9898 0.2500 0.4162  3.26
Fe 0.0102 0.7500 0.5838  3.26
Fe 0.5102 0.7500 0.9162  3.26
Se 0.0909 0.2500 0.0741  0.03
Se 0.5754 0.7500 0.1161  0.17
Se 0.3837 0.2500 0.2367  0.10
Se 0.8837 0.2500 0.2633  0.10
Se 0.0754 0.7500 0.3839  0.17
Se 0.5909 0.2500 0.4259  0.03
Se 0.4091 0.7500 0.5741  0.03
Se 0.9246 0.2500 0.6161  0.17
Se 0.1163 0.7500 0.7367  0.10
Se 0.6163 0.7500 0.7633  0.10
Se 0.4246 0.2500 0.8839  0.17
Se 0.9091 0.7500 0.9259  0.03
Tb 0.9840 0.7500 0.1552  0.04
Tb 0.4840 0.7500 0.3448  0.04
Tb 0.5160 0.2500 0.6552  0.04
Tb 0.0160 0.2500 0.8448  0.04

Space group: Pnma



Entry 3:
CsTbFeSe3 after structural relaxation. Source: OQMD via LeMat-Bulk, functional PBE.

Lattice parameters (Å, degrees): 9.6584 4.1513 10.2958 90.00 112.21 90.00
Last column: magnetic moment on the atom in μB.
Fractional positions:
Cs 0.2127 0.2500 0.2408  0.01
Cs 0.7873 0.7500 0.7592  0.01
Fe 0.9255 0.7500 0.4118  3.26
Fe 0.0745 0.2500 0.5882  3.26
Se 0.4639 0.7500 0.1508  0.02
Se 0.8816 0.7500 0.1637  0.10
Se 0.8006 0.2500 0.4587  0.17
Se 0.1994 0.7500 0.5413  0.17
Se 0.1184 0.2500 0.8363  0.10
Se 0.5361 0.2500 0.8492  0.02
Tb 0.6659 0.2500 0.1471  0.04
Tb 0.3341 0.7500 0.8529  0.04

Space group: P2_1/m



Magnetic moment in μB per cell, matching the order above: 16.0; 16.0; 8.0
Final energy in eV per atom, matching the order above: -5.191; -5.270; -5.272